The following is a PBE calculation of an optimized crystal structure of BaSr2Tl2, from Alexandria.

Cell lengths 12.0730, 12.0730, 4.0962 Å; angles 90.00, 90.00, 159.59 degrees
Closest atoms and distances in Å follow each position.
Sites, in units of the cell vectors:
Ba: 0.0000 0.0000 0.0000  8 Tl 3.76, 2 Ba 4.10, 2 Sr 4.11
Sr: 0.1731 0.8269 0.0000  4 Tl 3.47
Sr: 0.8269 0.1731 0.0000  4 Tl 3.47
Tl: 0.4026 0.5974 0.5000  4 Sr 3.47, 4 Ba 3.76
Tl: 0.5974 0.4026 0.5000  4 Sr 3.47, 4 Ba 3.76

Values from the calculation:
Total moment ... 0.000 μB per formula unit
Density ... 5.8 Mg/m³
ΔH_f (0 K) ... -148 kJ/mol of formula units
SG ... Cmmm (65)